Compound: Ac12PrNd6
Source: the Alexandria database
Functional: PBE
Structure: optimized geometry

Calculated values
Volume = 43.27 Å³/atom
Energy of formation = 22.5 kJ per mole of atoms
Electronic total energy = -78.26 eV/cell
Space group = R-3, No. 148
Total magnetic moment = 0.00 μB/f.u.

Cell lengths 9.926, 9.926, 9.926 Å; angles 106.65, 106.65, 106.65 degrees
Sites, in units of the cell vectors:
Ac: 0.124 0.274 0.827
Ac: 0.173 0.876 0.726
Ac: 0.191 0.484 0.581
Ac: 0.274 0.827 0.124
Ac: 0.419 0.809 0.516
Ac: 0.484 0.581 0.191
Ac: 0.516 0.419 0.809
Ac: 0.581 0.191 0.484
Ac: 0.726 0.173 0.876
Ac: 0.809 0.516 0.419
Ac: 0.827 0.124 0.274
Ac: 0.876 0.726 0.173
Pr: 0.000 0.000 0.000
Nd: 0.081 0.458 0.193
Nd: 0.193 0.081 0.458
Nd: 0.458 0.193 0.081
Nd: 0.542 0.807 0.919
Nd: 0.807 0.919 0.542
Nd: 0.919 0.542 0.807